1.
{"formula": "SmZnAsO", "functional": "PBE", "state": "optimized geometry", "cell": [[-3.6208, 1.3985, 2.0378], [0.6642, -4.5196, 4.2818], [3.3195, 3.6818, 3.3714]], "species": ["As", "As", "O", "O", "Sm", "Sm", "Zn", "Zn"], "fractional_positions": [[0.0000, 0.2729, 0.4156], [0.0000, 0.7271, 0.9156], [0.5000, 0.8396, 0.3850], [0.5000, 0.1604, 0.8850], [0.0000, 0.7457, 0.4189], [0.0000, 0.2543, 0.9189], [0.5000, 0.8616, 0.0344], [0.5000, 0.1384, 0.5344]], "magnetic_moment_mub_per_fu": 0.00, "space_group": "Pmc2_1, No. 26", "rho_g_cm3": 6.19, "e_tot_ev_per_atom": -5.4828}



2.
{"formula": "SmZnAsO", "functional": "PBE", "state": "optimized geometry", "cell": [[4.9757, 0.0000, 0.0000], [0.0000, 4.1606, 0.0000], [0.0000, 0.0000, 6.8743]], "species": ["As", "As", "O", "O", "Sm", "Sm", "Zn", "Zn"], "fractional_positions": [[0.0000, 0.7048, 0.2836], [0.0000, 0.2952, 0.7836], [0.5000, 0.2191, 0.4319], [0.5000, 0.7809, 0.9319], [0.5000, 0.2741, 0.0933], [0.5000, 0.7259, 0.5933], [0.0000, 0.2033, 0.4452], [0.0000, 0.7967, 0.9452]], "magnetic_moment_mub_per_fu": 0.00, "space_group": "Pmc2_1, No. 26", "rho_g_cm3": 7.16, "e_tot_ev_per_atom": -5.4798}



3.
{"formula": "TcSnAsO", "functional": "PBE", "state": "optimized geometry", "cell": [[-1.4975, -2.6090, -2.8571], [3.4939, 0.4043, -2.2004], [3.9199, -7.5472, 4.8374]], "species": ["As", "As", "O", "O", "Sn", "Sn", "Tc", "Tc"], "fractional_positions": [[0.0000, 0.5000, 0.2718], [0.5000, 0.0000, 0.7282], [0.0000, 0.0000, 0.0000], [0.5000, 0.5000, 0.0000], [0.0000, 0.0000, 0.5000], [0.5000, 0.5000, 0.5000], [0.0000, 0.5000, 0.0402], [0.5000, 0.0000, 0.9598]], "magnetic_moment_mub_per_fu": 0.35, "space_group": "P4/nmm, No. 129", "rho_g_cm3": 6.07, "e_tot_ev_per_atom": -6.0432, "e_above_lowest_polymorph_kj_per_mol_fu": 204}



4.
{"formula": "TcSnAsO", "functional": "PBE", "state": "optimized geometry", "cell": [[3.6223, 0.0000, 0.0000], [0.0000, 7.6085, 0.0000], [0.0000, 0.0000, 5.4074]], "species": ["As", "As", "O", "O", "Sn", "Sn", "Tc", "Tc"], "fractional_positions": [[0.0000, 0.1650, 0.3560], [0.0000, 0.8350, 0.8560], [0.5000, 0.7904, 0.3807], [0.5000, 0.2096, 0.8807], [0.0000, 0.6203, 0.4262], [0.0000, 0.3797, 0.9262], [0.5000, 0.9672, 0.0911], [0.5000, 0.0328, 0.5910]], "magnetic_moment_mub_per_fu": 0.00, "space_group": "Pmc2_1, No. 26", "rho_g_cm3": 6.86, "e_tot_ev_per_atom": -6.3883, "e_above_lowest_polymorph_kj_per_mol_fu": 70}



5.
{"formula": "TcSnAsO", "functional": "PBE", "state": "optimized geometry", "cell": [[-2.0886, -2.0040, -1.6132], [1.8153, -4.6358, 3.4087], [-5.7230, 1.6762, 5.3274]], "species": ["As", "As", "O", "O", "Sn", "Sn", "Tc", "Tc"], "fractional_positions": [[0.0000, 0.3140, 0.2831], [0.0000, 0.6860, 0.7831], [0.5000, 0.7529, 0.4129], [0.5000, 0.2470, 0.9129], [0.5000, 0.7826, 0.0746], [0.5000, 0.2174, 0.5746], [0.0000, 0.6325, 0.4834], [0.0000, 0.3675, 0.9834]], "magnetic_moment_mub_per_fu": 0.01, "space_group": "Pmc2_1, No. 26", "rho_g_cm3": 6.39, "e_tot_ev_per_atom": -6.2581, "e_above_lowest_polymorph_kj_per_mol_fu": 121}



6.
{"formula": "TcSnAsO", "functional": "PBE", "state": "optimized geometry", "cell": [[3.7492, 0.0000, 0.0000], [0.0000, 3.7492, 0.0000], [0.0000, 0.0000, 10.7208]], "species": ["As", "As", "O", "O", "Sn", "Sn", "Tc", "Tc"], "fractional_positions": [[0.0000, 0.5000, 0.3372], [0.5000, 0.0000, 0.6628], [0.0000, 0.0000, 0.0000], [0.5000, 0.5000, 0.0000], [0.5000, 0.0000, 0.1120], [0.0000, 0.5000, 0.8880], [0.0000, 0.0000, 0.5000], [0.5000, 0.5000, 0.5000]], "magnetic_moment_mub_per_fu": 0.06, "space_group": "P4/nmm, No. 129", "rho_g_cm3": 6.78, "e_tot_ev_per_atom": -6.5708, "e_above_lowest_polymorph_kj_per_mol_fu": 0}



7.
{"formula": "TmSnAsO", "functional": "PBE", "state": "optimized geometry", "cell": [[-3.6579, 3.9389, 0.8876], [-3.4315, -2.4016, -3.4842], [-2.0995, -2.8598, 4.0390]], "species": ["As", "As", "O", "O", "Sn", "Sn", "Tm", "Tm"], "fractional_positions": [[0.7500, 0.7500, 0.4856], [0.2500, 0.2500, 0.5144], [0.7500, 0.2500, 0.0000], [0.2500, 0.7500, 0.0000], [0.2500, 0.2500, 0.0109], [0.7500, 0.7500, 0.9891], [0.7500, 0.2500, 0.5000], [0.2500, 0.7500, 0.5000]], "magnetic_moment_mub_per_fu": 0.00, "space_group": "P4/nmm, No. 129", "rho_g_cm3": 7.88, "e_tot_ev_per_atom": -5.5351, "e_above_lowest_polymorph_kj_per_mol_fu": 169}



8.
{"formula": "TmSnAsO", "functional": "PBE", "state": "optimized geometry", "cell": [[-1.2719, -0.0801, 3.7085], [6.4331, -5.4627, 2.0884], [3.4689, 4.5777, 1.2887]], "species": ["As", "As", "O", "O", "Sn", "Sn", "Tm", "Tm"], "fractional_positions": [[0.0000, 0.8298, 0.4127], [0.0000, 0.1702, 0.9127], [0.5000, 0.2442, 0.3762], [0.5000, 0.7558, 0.8762], [0.5000, 0.3656, 0.0404], [0.5000, 0.6344, 0.5404], [0.0000, 0.1558, 0.4247], [0.0000, 0.8442, 0.9247]], "magnetic_moment_mub_per_fu": 0.00, "space_group": "Pmc2_1, No. 26", "rho_g_cm3": 6.26, "e_tot_ev_per_atom": -5.9730, "e_above_lowest_polymorph_kj_per_mol_fu": 0}



9.
{"formula": "TmSnAsO", "functional": "PBE", "state": "optimized geometry", "cell": [[2.8736, -2.8736, 0.0000], [-2.8736, -2.8736, 0.0000], [0.0000, 0.0000, -10.0331]], "species": ["As", "As", "O", "O", "Sn", "Sn", "Tm", "Tm"], "fractional_positions": [[0.7500, 0.7500, 0.2689], [0.2500, 0.2500, 0.7311], [0.7500, 0.2500, 0.0000], [0.2500, 0.7500, 0.0000], [0.7500, 0.2500, 0.5000], [0.2500, 0.7500, 0.5000], [0.2500, 0.2500, 0.0969], [0.7500, 0.7500, 0.9031]], "magnetic_moment_mub_per_fu": 0.01, "space_group": "P4/nmm, No. 129", "rho_g_cm3": 7.59, "e_tot_ev_per_atom": -5.9742, "e_above_lowest_polymorph_kj_per_mol_fu": 0}



10.
{"formula": "TmSnAsO", "functional": "PBE", "state": "optimized geometry", "cell": [[-0.5962, 3.9567, -2.8075], [-5.8468, 0.6479, 2.1547], [2.1128, 3.6151, 4.6461]], "species": ["As", "As", "O", "O", "Sn", "Sn", "Tm", "Tm"], "fractional_positions": [[0.0000, 0.2807, 0.3700], [0.0000, 0.7193, 0.8700], [0.5000, 0.8586, 0.3970], [0.5000, 0.1414, 0.8970], [0.0000, 0.7413, 0.4302], [0.0000, 0.2587, 0.9302], [0.5000, 0.8488, 0.0568], [0.5000, 0.1512, 0.5568]], "magnetic_moment_mub_per_fu": 0.00, "space_group": "Pmc2_1, No. 26", "rho_g_cm3": 6.56, "e_tot_ev_per_atom": -5.8573, "e_above_lowest_polymorph_kj_per_mol_fu": 45}



11.
{"formula": "TmSn2AsO6", "functional": "PBE", "state": "optimized geometry", "cell": [[-2.1961, -0.1993, 5.3433], [-3.7267, -3.8542, -1.6755], [7.1786, -5.6264, -3.0241]], "species": ["As", "As", "O", "O", "O", "O", "O", "O", "O", "O", "O", "O", "O", "O", "Sn", "Sn", "Sn", "Sn", "Tm", "Tm"], "fractional_positions": [[0.0000, 0.0000, 0.0000], [0.0000, 0.5000, 0.5000], [0.8178, 0.2544, 0.0252], [0.8002, 0.7838, 0.0425], [0.2620, 0.0283, 0.2274], [0.7380, 0.5283, 0.2726], [0.1998, 0.2838, 0.4575], [0.1822, 0.7544, 0.4748], [0.8178, 0.2456, 0.5252], [0.8002, 0.7162, 0.5425], [0.2620, 0.4717, 0.7274], [0.7380, 0.9717, 0.7726], [0.1998, 0.2162, 0.9575], [0.1822, 0.7456, 0.9748], [0.2070, 0.4553, 0.2384], [0.7930, 0.9553, 0.2616], [0.2070, 0.0447, 0.7384], [0.7930, 0.5447, 0.7616], [0.5000, 0.5000, 0.0000], [0.5000, 0.0000, 0.5000]], "magnetic_moment_mub_per_fu": 0.00, "space_group": "P2_1/c, No. 14", "rho_g_cm3": 7.38, "e_tot_ev_per_atom": -6.4139}



12.
{"formula": "ZnSnAsO", "functional": "PBE", "state": "optimized geometry", "cell": [[4.4045, 0.0000, 0.0000], [0.0000, 6.0368, 0.0000], [0.0000, 0.0000, 5.7830]], "species": ["As", "As", "O", "O", "Sn", "Sn", "Zn", "Zn"], "fractional_positions": [[0.0000, 0.2825, 0.4089], [0.0000, 0.7175, 0.9089], [0.5000, 0.8338, 0.3833], [0.5000, 0.1662, 0.8833], [0.0000, 0.7394, 0.4318], [0.0000, 0.2606, 0.9318], [0.5000, 0.8595, 0.0300], [0.5000, 0.1405, 0.5300]], "space_group": "Pmc2_1, No. 26", "rho_g_cm3": 5.94, "e_tot_ev_per_atom": -4.3216, "e_above_lowest_polymorph_kj_per_mol_fu": 0}